(1)
Computed, not measured: a geometry-optimized RbAg2Sn3 structure at the PBE level of DFT.

a b c (Å): 5.775 8.014 8.014
angles (deg): 107.60 90.00 90.00
Fractional positions:
Rb 0.250 0.346 0.346
Rb 0.750 0.654 0.654
Ag 0.500 0.770 0.230
Ag 0.000 0.770 0.230
Ag 0.000 0.230 0.770
Ag 0.500 0.230 0.770
Sn 0.750 0.450 0.073
Sn 0.750 0.073 0.450
Sn 0.250 0.550 0.927
Sn 0.750 0.067 0.067
Sn 0.250 0.933 0.933
Sn 0.250 0.927 0.550

Results
E_tot = -38.41 eV per cell
Total magnetization = 0.000 μB per formula unit
ΔE_f = -0.52 eV per formula unit
N(E_F) = 4.6 states/eV per cell

---

(2)
Computed, not measured: a geometry-optimized LiTa2P structure at the PBE level of DFT.

a b c (Å): 6.810 6.810 6.810
angles (deg): 29.36 29.36 29.36
Fractional positions:
Li 0.250 0.250 0.250
P 0.750 0.750 0.750
Ta 0.014 0.014 0.014
Ta 0.486 0.486 0.486

Results
E_tot = -30.62 eV per cell
Total magnetization = 0.000 μB per formula unit
ΔE_f = 0.41 eV per formula unit
N(E_F) = 2.1 states/eV per cell

---

(3)
Computed, not measured: a geometry-optimized Zn3Ag8Au2 structure at the PBE level of DFT.

a b c (Å): 4.876 7.453 7.755
angles (deg): 120.16 94.21 74.66
Fractional positions:
Zn 0.500 0.000 0.000
Zn 0.996 0.359 0.066
Zn 0.004 0.641 0.934
Ag 0.000 0.770 0.355
Ag 0.000 0.230 0.645
Ag 0.006 0.083 0.211
Ag 0.994 0.917 0.789
Ag 0.504 0.575 0.715
Ag 0.499 0.285 0.864
Ag 0.501 0.715 0.136
Ag 0.496 0.425 0.285
Au 0.510 0.142 0.426
Au 0.490 0.858 0.574

Results
E_tot = -32.99 eV per cell
Total magnetization = 0.000 μB per formula unit
ΔE_f = 0.20 eV per formula unit
N(E_F) = 3.8 states/eV per cell

---

(4)
Computed, not measured: a geometry-optimized CaHgAu3 structure at the PBE level of DFT.

a b c (Å): 4.870 8.831 10.515
angles (deg): 90.00 90.00 90.00
Fractional positions:
Ca 0.250 0.959 0.202
Ca 0.750 0.459 0.298
Ca 0.250 0.541 0.702
Ca 0.750 0.041 0.798
Hg 0.750 0.396 0.913
Hg 0.750 0.104 0.413
Hg 0.250 0.896 0.587
Hg 0.250 0.604 0.087
Au 0.750 0.801 0.314
Au 0.250 0.199 0.686
Au 0.750 0.699 0.814
Au 0.250 0.301 0.186
Au 0.750 0.347 0.604
Au 0.250 0.847 0.896
Au 0.750 0.153 0.104
Au 0.250 0.321 0.445
Au 0.750 0.679 0.555
Au 0.250 0.179 0.945
Au 0.250 0.653 0.396
Au 0.750 0.821 0.055

Results
Offset from the most stable computed form = 0.0 kJ/mol of atoms
E_tot = -57.30 eV per cell
Total magnetization = 0.000 μB per formula unit
ΔE_f = -2.19 eV per formula unit
N(E_F) = 3.2 states/eV per cell

---

(5)
Computed, not measured: a geometry-optimized K2ReHg structure at the PBE level of DFT.

a b c (Å): 9.347 9.347 7.216
angles (deg): 49.63 49.63 90.00
Fractional positions:
Re 0.500 0.500 0.000
Re 0.250 0.750 0.500
K 0.636 0.125 0.250
K 0.114 0.625 0.250
K 0.375 0.364 0.750
K 0.875 0.886 0.750
Hg 0.000 0.000 0.000
Hg 0.750 0.250 0.500

Results
E_tot = -19.36 eV per cell
Total magnetization = 3.070 μB per formula unit
ΔE_f = 5.27 eV per formula unit
N(E_F) = 7.2 states/eV per cell

---

(6)
Computed, not measured: a geometry-optimized CeGaHg2 structure at the PBE level of DFT.

a b c (Å): 4.699 4.699 9.479
angles (deg): 104.35 104.35 90.00
Fractional positions:
Ce 0.134 0.134 0.268
Ce 0.866 0.866 0.732
Ga 0.250 0.750 0.500
Ga 0.750 0.250 0.500
Hg 0.000 0.500 0.000
Hg 0.500 0.000 0.000
Hg 0.349 0.349 0.698
Hg 0.651 0.651 0.302

Results
E_tot = -21.48 eV per cell
Total magnetization = 0.784 μB per formula unit
ΔE_f = -1.18 eV per formula unit
N(E_F) = 14.0 states/eV per cell

---

(7)
Computed, not measured: a geometry-optimized SmAl4Ag structure at the PBE level of DFT.

a b c (Å): 5.520 5.520 5.520
angles (deg): 60.00 60.00 60.00
Fractional positions:
Ag 0.000 0.000 0.000
Sm 0.250 0.250 0.250
Al 0.624 0.624 0.128
Al 0.624 0.128 0.624
Al 0.624 0.624 0.624
Al 0.128 0.624 0.624

Results
Offset from the most stable computed form = 8.5 kJ/mol of atoms
E_tot = -23.47 eV per cell
Total magnetization = 0.000 μB per formula unit
ΔE_f = -0.92 eV per formula unit
N(E_F) = 2.2 states/eV per cell

---

(8)
Computed, not measured: a geometry-optimized Rb3TbSe3 structure at the PBE level of DFT.

a b c (Å): 8.775 8.775 8.496
angles (deg): 95.42 95.42 114.25
Fractional positions:
Rb 0.617 0.617 0.364
Rb 0.181 0.819 0.500
Rb 0.819 0.181 0.500
Rb 0.248 0.752 0.000
Rb 0.752 0.248 0.000
Rb 0.383 0.383 0.636
Tb 0.820 0.820 0.859
Tb 0.180 0.180 0.141
Se 0.901 0.901 0.192
Se 0.837 0.538 0.725
Se 0.538 0.837 0.725
Se 0.163 0.462 0.275
Se 0.462 0.163 0.275
Se 0.099 0.099 0.808

Results
E_tot = -55.61 eV per cell
Uncorrected formation energy = -1.403 eV/atom
Total magnetization = 0.000 μB per formula unit
N(E_F) = 0.0 states/eV per cell

---

(9)
Computed, not measured: a geometry-optimized ZrFe2PC structure at the PBE level of DFT.

a b c (Å): 3.506 5.460 6.553
angles (deg): 90.00 90.00 108.72
Fractional positions:
Zr 0.460 0.920 0.750
Zr 0.540 0.080 0.250
Fe 0.168 0.335 0.945
Fe 0.832 0.665 0.055
Fe 0.168 0.335 0.555
Fe 0.832 0.665 0.445
P 0.732 0.465 0.750
P 0.268 0.535 0.250
C 0.000 0.000 0.000
C 0.000 0.000 0.500

Results
E_tot = -86.93 eV per cell
Total magnetization = 0.000 μB per formula unit
ΔE_f = -3.36 eV per formula unit
N(E_F) = 6.6 states/eV per cell

---

(10)
Computed, not measured: a geometry-optimized RePtAu2 structure at the PBE level of DFT.

a b c (Å): 3.979 4.101 4.101
angles (deg): 90.00 90.00 90.00
Fractional positions:
Au 0.000 0.000 0.000
Au 0.000 0.500 0.500
Pt 0.500 0.500 0.000
Re 0.500 0.000 0.500

Results
Offset from the most stable computed form = 48.2 kJ/mol of atoms
E_tot = -22.57 eV per cell
Total magnetization = 1.743 μB per formula unit
ΔE_f = 2.48 eV per formula unit
N(E_F) = 6.1 states/eV per cell

---

(11)
Computed, not measured: a geometry-optimized CaZn structure at the PBE level of DFT.

a b c (Å): 9.306 7.566 5.675
angles (deg): 90.00 90.00 90.00
Fractional positions:
Ca 0.318 0.147 0.250
Ca 0.318 0.853 0.750
Ca 0.682 0.147 0.250
Ca 0.682 0.853 0.750
Ca 0.818 0.647 0.250
Ca 0.818 0.353 0.750
Ca 0.182 0.647 0.250
Ca 0.182 0.353 0.750
Zn 0.000 0.000 0.000
Zn 0.000 0.000 0.500
Zn 0.500 0.500 0.000
Zn 0.500 0.500 0.500
Zn 0.000 0.295 0.250
Zn 0.000 0.705 0.750
Zn 0.500 0.795 0.250
Zn 0.500 0.205 0.750

Results
E_tot = -29.49 eV per cell
Total magnetization = 0.000 μB per formula unit
ΔE_f = -0.41 eV per formula unit
N(E_F) = 11.2 states/eV per cell

---

(12)
Computed, not measured: a geometry-optimized SrYTlOs2 structure at the PBE level of DFT.

a b c (Å): 5.137 5.352 5.137
angles (deg): 90.00 90.00 90.00
Fractional positions:
Y 0.000 0.500 0.000
Sr 0.500 0.500 0.500
Tl 0.000 0.000 0.000
Os 0.000 0.000 0.500
Os 0.500 0.000 0.000

Results
E_tot = -25.12 eV per cell
Total magnetization = 0.000 μB per formula unit
ΔE_f = 7.86 eV per formula unit
N(E_F) = 5.0 states/eV per cell